--- one ---
CaNdRu | PBE | relaxed

Properties
mass density	5.757	g/cm³
M_tot	0.00	μB/cell

a b c (Å): 3.525 3.525 7.078
angles (deg): 104.42 104.42 90.00
Element x y z (fractional)
Nd 0.289 0.289 0.577
Ru 0.673 0.673 0.347
Ca 0.038 0.038 0.076

---

--- two ---
CaNdRu | PBE | relaxed

Properties
mass density	5.584	g/cm³
M_tot	0.00	μB/cell

a b c (Å): 6.705 7.735 7.263
angles (deg): 90.00 90.00 115.69
Element x y z (fractional)
Ca 0.798 0.595 0.396
Ca 0.702 0.405 0.896
Ca 0.202 0.405 0.604
Ca 0.298 0.595 0.104
Nd 0.277 0.054 0.250
Nd 0.723 0.946 0.750
Nd 0.777 0.054 0.250
Nd 0.223 0.946 0.750
Ru 0.397 0.793 0.456
Ru 0.897 0.793 0.044
Ru 0.603 0.207 0.544
Ru 0.103 0.207 0.956

---

Which of them is the least stable? Correct choice: two.

---

--- one ---
CaNd3Ru | PBE | relaxed

Properties
mass density	5.435	g/cm³
M_tot	0.00	μB/cell

a b c (Å): 5.597 5.597 5.597
angles (deg): 90.00 90.00 90.00
Element x y z (fractional)
Ru 0.000 0.000 0.000
Nd 0.000 0.000 0.500
Nd 0.500 0.000 0.000
Nd 0.000 0.500 0.000
Ca 0.500 0.500 0.500

---

--- two ---
CaNd3Ru | PBE | relaxed

Properties
mass density	5.806	g/cm³
M_tot	0.00	μB/cell

a b c (Å): 7.466 8.581 6.628
angles (deg): 89.90 74.43 54.87
Element x y z (fractional)
Ru 0.096 0.907 0.768
Ru 0.330 0.290 0.711
Nd 0.417 0.535 0.488
Nd 0.559 0.176 0.022
Nd 0.416 0.958 0.487
Nd 0.011 0.238 0.992
Nd 0.868 0.020 0.457
Nd 0.010 0.661 0.991
Ca 0.450 0.730 0.986
Ca 0.976 0.467 0.493

---

Which of them is the least stable? Correct choice: one.

---

--- one ---
CaNd2Ru | PBE | relaxed

Properties
mass density	6.033	g/cm³
M_tot	0.00	μB/cell

a b c (Å): 4.062 6.626 9.230
angles (deg): 90.00 90.00 107.80
Element x y z (fractional)
Nd 0.646 0.292 0.434
Nd 0.646 0.292 0.066
Nd 0.354 0.708 0.934
Nd 0.354 0.708 0.566
Ru 0.248 0.495 0.250
Ru 0.752 0.505 0.750
Ca 0.924 0.848 0.250
Ca 0.076 0.152 0.750

---

--- two ---
CaNd2Ru | PBE | relaxed

Properties
mass density	5.786	g/cm³
M_tot	0.00	μB/cell

a b c (Å): 3.529 3.529 9.901
angles (deg): 90.00 90.00 90.00
Element x y z (fractional)
Ru 0.500 0.500 0.000
Ca 0.500 0.500 0.500
Nd 0.000 0.000 0.172
Nd 0.000 0.000 0.828

---

Which of them is the least stable? Correct choice: two.

---

--- one ---
CaNd2Ru | PBE | relaxed

Properties
mass density	4.866	g/cm³
M_tot	0.00	μB/cell

a b c (Å): 3.965 3.965 11.010
angles (deg): 79.63 79.63 60.00
Element x y z (fractional)
Nd 0.883 0.883 0.351
Nd 0.117 0.117 0.649
Ru 0.500 0.500 0.500
Ca 0.000 0.000 0.000

---

--- two ---
CaNd2Ru | PBE | relaxed

Properties
mass density	6.056	g/cm³
M_tot	0.00	μB/cell

a b c (Å): 6.552 7.463 9.637
angles (deg): 90.00 90.00 90.00
Element x y z (fractional)
Ru 0.431 0.902 0.250
Ru 0.069 0.402 0.250
Ru 0.569 0.098 0.750
Ru 0.931 0.598 0.750
Ca 0.638 0.545 0.250
Ca 0.138 0.955 0.750
Ca 0.362 0.455 0.750
Ca 0.862 0.045 0.250
Nd 0.828 0.327 0.566
Nd 0.172 0.673 0.066
Nd 0.672 0.827 0.934
Nd 0.172 0.673 0.434
Nd 0.328 0.173 0.066
Nd 0.828 0.327 0.934
Nd 0.328 0.173 0.434
Nd 0.672 0.827 0.566

---

--- three ---
CaNd2Ru | PBE | relaxed

Properties
mass density	5.234	g/cm³
M_tot	0.00	μB/cell

a b c (Å): 4.098 4.098 9.666
angles (deg): 77.76 77.76 60.00
Element x y z (fractional)
Nd 0.054 0.054 0.839
Nd 0.279 0.279 0.163
Ca 0.501 0.501 0.497
Ru 0.666 0.666 0.002

---

Which of them is the least stable? Correct choice: one.

---

--- one ---
CaNd2Sb | PBE | relaxed

Properties
mass density	4.843	g/cm³
M_tot	0.01	μB/cell

a b c (Å): 4.227 4.227 10.273
angles (deg): 78.13 78.13 60.00
Element x y z (fractional)
Sb 0.000 0.000 0.000
Nd 0.270 0.270 0.191
Nd 0.730 0.730 0.809
Ca 0.500 0.500 0.500

---

--- two ---
CaNd2Sb | PBE | relaxed

Properties
mass density	5.865	g/cm³
M_tot	0.00	μB/cell

a b c (Å): 4.302 4.302 6.890
angles (deg): 90.00 90.00 90.00
Element x y z (fractional)
Nd 0.000 0.000 0.231
Nd 0.000 0.000 0.769
Sb 0.500 0.500 0.000
Ca 0.500 0.500 0.500

---

Which of them is the least stable? Correct choice: one.

---

--- one ---
CaNd3Sb3 | PBE | relaxed

Properties
mass density	6.446	g/cm³
M_tot	0.00	μB/cell

a b c (Å): 9.523 9.523 9.523
angles (deg): 90.00 90.00 90.00
Element x y z (fractional)
Nd 0.822 0.322 0.178
Nd 0.819 0.681 0.319
Nd 0.072 0.428 0.572
Nd 0.681 0.319 0.819
Nd 0.181 0.181 0.181
Nd 0.322 0.178 0.822
Nd 0.428 0.572 0.072
Nd 0.319 0.819 0.681
Nd 0.678 0.678 0.678
Nd 0.178 0.822 0.322
Nd 0.928 0.928 0.928
Nd 0.572 0.072 0.428
Sb 0.123 0.501 0.250
Sb 0.250 0.877 0.001
Sb 0.750 0.623 0.999
Sb 0.377 0.499 0.750
Sb 0.750 0.377 0.499
Sb 0.250 0.123 0.501
Sb 0.001 0.250 0.877
Sb 0.999 0.750 0.623
Sb 0.499 0.750 0.377
Sb 0.877 0.001 0.250
Sb 0.623 0.999 0.750
Sb 0.501 0.250 0.123
Ca 0.571 0.929 0.071
Ca 0.071 0.571 0.929
Ca 0.929 0.071 0.571
Ca 0.429 0.429 0.429

---

--- two ---
CaNd3Sb3 | PBE | relaxed

Properties
mass density	5.841	g/cm³
M_tot	0.00	μB/cell

a b c (Å): 9.320 9.320 8.311
angles (deg): 55.90 55.90 60.00
Element x y z (fractional)
Nd 0.093 0.355 0.739
Nd 0.187 0.907 0.261
Nd 0.813 0.093 0.739
Nd 0.907 0.645 0.261
Nd 0.645 0.187 0.261
Nd 0.355 0.813 0.739
Ca 0.332 0.332 0.003
Ca 0.668 0.668 0.997
Sb 0.463 0.073 0.760
Sb 0.537 0.927 0.240
Sb 0.704 0.463 0.760
Sb 0.073 0.704 0.760
Sb 0.927 0.296 0.240
Sb 0.296 0.537 0.240

---

Which of them is the least stable? Correct choice: two.

---

--- one ---
CaNdSc2 | PBE | relaxed

Properties
mass density	3.772	g/cm³
M_tot	0.00	μB/cell

a b c (Å): 3.488 3.488 11.632
angles (deg): 81.38 81.38 60.00
Element x y z (fractional)
Ca 0.500 0.500 0.499
Sc 0.254 0.254 0.239
Sc 0.080 0.080 0.761
Nd 0.666 0.666 0.001

---

--- two ---
CaNdSc2 | PBE | relaxed

Properties
mass density	3.746	g/cm³
M_tot	0.00	μB/cell

a b c (Å): 3.498 3.498 11.645
angles (deg): 81.36 81.36 60.00
Element x y z (fractional)
Ca 0.000 0.000 0.000
Sc 0.246 0.246 0.261
Sc 0.754 0.754 0.739
Nd 0.500 0.500 0.500

---

--- three ---
CaNdSc2 | PBE | relaxed

Properties
mass density	3.778	g/cm³
M_tot	0.00	μB/cell

a b c (Å): 5.545 5.545 5.545
angles (deg): 60.00 60.00 60.00
Element x y z (fractional)
Sc 0.750 0.750 0.750
Sc 0.250 0.250 0.250
Nd 0.000 0.000 0.000
Ca 0.500 0.500 0.500

---

Which of them is the least stable? Correct choice: three.

---

--- one ---
CaNdSc2 | PBE | relaxed

Properties
mass density	3.769	g/cm³
M_tot	0.01	μB/cell

a b c (Å): 4.860 4.986 4.986
angles (deg): 90.00 90.00 90.00
Element x y z (fractional)
Sc 0.000 0.500 0.000
Sc 0.000 0.000 0.500
Nd 0.500 0.500 0.500
Ca 0.500 0.000 0.000

---

--- two ---
CaNdSc2 | PBE | relaxed

Properties
mass density	3.697	g/cm³
M_tot	0.24	μB/cell

a b c (Å): 3.539 3.539 9.833
angles (deg): 90.00 90.00 90.00
Each line ends with the local moment (μB).
Element x y z (fractional)
Sc 0.000 0.000 0.768  0.06
Sc 0.000 0.000 0.232  0.06
Ca 0.500 0.500 0.500  0.01
Nd 0.500 0.500 0.000  0.01

---

Which of them is the least stable? Correct choice: one.